MgNi after structural relaxation, computed with PBE-GGA.

The structure in CIF format:
```
data_MgNi
_chemical_formula_sum 'Mg8 Ni8'
_cell_length_a 4.3199
_cell_length_b 11.1929
_cell_length_c 4.8919
_cell_angle_alpha 90.00
_cell_angle_beta 90.00
_cell_angle_gamma 90.00
_symmetry_space_group_name_H-M 'P m m n'
_symmetry_Int_Tables_number 59
loop_
_symmetry_equiv_pos_as_xyz
'x,y,z'
'-x,-y,-z'
'-x+1/2,-y+1/2,z'
'x+1/2,y+1/2,-z'
'x+1/2,-y,-z'
'-x+1/2,y,z'
'-x,y+1/2,-z'
'x,-y+1/2,z'
loop_
_atom_site_label
_atom_site_type_symbol
_atom_site_fract_x
_atom_site_fract_y
_atom_site_fract_z
_atom_site_occupancy
Mg1 Mg 0.2500 0.0829 0.1118 1
Mg2 Mg 0.2500 0.2500 0.6635 1
Mg3 Mg 0.2500 0.7500 0.7374 1
Ni1 Ni 0.2500 0.0123 0.6128 1
Ni2 Ni 0.2500 0.6358 0.2311 1
```

Summary:
Energy, Ry per atom: -0.269
ρ, Mg/m³: 4.66

ErAlGaCo after structural relaxation, computed with PBE-GGA.

The structure in CIF format:
```
data_ErAlGaCo
_chemical_formula_sum 'Er4 Al4 Ga4 Co4'
_cell_length_a 4.0192
_cell_length_b 9.8923
_cell_length_c 6.9071
_cell_angle_alpha 90.00
_cell_angle_beta 90.00
_cell_angle_gamma 90.00
_symmetry_space_group_name_H-M 'C m c 21'
_symmetry_Int_Tables_number 36
_symmetry_space_group_name_Hall 'C 2c -2'
loop_
_atom_site_label
_atom_site_type_symbol
_atom_site_fract_x
_atom_site_fract_y
_atom_site_fract_z
_atom_site_occupancy
Er1 Er 0.0000 0.0635 0.0000 1
Al1 Al 0.0000 0.3425 0.8062 1
Ga1 Ga 0.0000 0.3496 0.1969 1
Co1 Co 0.0000 0.2145 0.4980 1
```

Summary:
Energy, Ry per atom: -0.379
ρ, Mg/m³: 7.81

Er4Si3O11F2 after structural relaxation, computed with PBE-GGA.

The structure in CIF format:
```
data_Er4Si3O11F2
_chemical_formula_sum 'Er8 Si6 O22 F4'
_cell_length_a 6.4299
_cell_length_b 6.5480
_cell_length_c 13.1191
_cell_angle_alpha 87.46
_cell_angle_beta 85.76
_cell_angle_gamma 60.91
_symmetry_space_group_name_H-M 'P -1'
_symmetry_Int_Tables_number 2
_symmetry_space_group_name_Hall '-P 1'
loop_
_atom_site_label
_atom_site_type_symbol
_atom_site_fract_x
_atom_site_fract_y
_atom_site_fract_z
_atom_site_occupancy
Er1 Er 0.0629 0.2248 0.4730 1
Er2 Er 0.1802 0.1898 0.1711 1
Er3 Er 0.2188 0.7124 0.0283 1
Er4 Er 0.3251 0.8754 0.7024 1
Si1 Si 0.2313 0.6527 0.2831 1
Si2 Si 0.2683 0.2300 0.9204 1
Si3 Si 0.4937 0.7498 0.4350 1
O1 O 0.0118 0.4414 0.8875 1
O2 O 0.0128 0.2140 0.6446 1
O3 O 0.1739 0.0912 0.0077 1
O4 O 0.2030 0.8255 0.1857 1
O5 O 0.2484 0.4084 0.5175 1
O6 O 0.2648 0.8355 0.5213 1
O7 O 0.3108 0.3853 0.2533 1
O8 O 0.4085 0.3395 0.9800 1
O9 O 0.4222 0.0468 0.8298 1
O10 O 0.4433 0.0030 0.3870 1
O11 O 0.4705 0.5926 0.3464 1
F1 F 0.0368 0.7663 0.6855 1
F2 F 0.2082 0.7562 0.8544 1
```

Summary:
Energy, Ry per atom: -0.590
ρ, Mg/m³: 6.67

AcLuSi after structural relaxation, computed with PBE-GGA.

The structure in CIF format:
```
data_AcLuSi
_chemical_formula_sum 'Ac4 Lu4 Si4'
_cell_length_a 7.1520
_cell_length_b 7.1520
_cell_length_c 7.1520
_cell_angle_alpha 90.00
_cell_angle_beta 90.00
_cell_angle_gamma 90.00
_symmetry_space_group_name_H-M 'F -4 3 m'
_symmetry_Int_Tables_number 216
_symmetry_space_group_name_Hall 'F -4 2 3'
loop_
_atom_site_label
_atom_site_type_symbol
_atom_site_fract_x
_atom_site_fract_y
_atom_site_fract_z
_atom_site_occupancy
Ac1 Ac 0.0000 0.0000 0.0000 1
Lu1 Lu 0.0000 0.0000 0.5000 1
Si1 Si 0.2500 0.2500 0.2500 1
```

Summary:
Energy, Ry per atom: -0.364
ρ, Mg/m³: 7.81

SrLi3Pr2Pb3 after structural relaxation, computed with PBE-GGA.

The structure in CIF format:
```
data_SrLi3Pr2Pb3
_chemical_formula_sum 'Sr1 Li3 Pr2 Pb3'
_cell_length_a 4.9175
_cell_length_b 4.9175
_cell_length_c 11.7931
_cell_angle_alpha 90.00
_cell_angle_beta 90.00
_cell_angle_gamma 120.00
_symmetry_space_group_name_H-M 'P -6 m 2'
_symmetry_Int_Tables_number 187
_symmetry_space_group_name_Hall 'P -6 2'
loop_
_atom_site_label
_atom_site_type_symbol
_atom_site_fract_x
_atom_site_fract_y
_atom_site_fract_z
_atom_site_occupancy
Sr1 Sr 0.0000 0.0000 0.0000 1
Li1 Li 0.3333 0.6667 0.1927 1
Li2 Li 0.6667 0.3333 0.5000 1
Pr1 Pr 0.0000 0.0000 0.3350 1
Pb1 Pb 0.3333 0.6667 0.5000 1
Pb2 Pb 0.6667 0.3333 0.1903 1
```

Summary:
Energy, Ry per atom: -0.267
ρ, Mg/m³: 6.80

ZrNpMo after structural relaxation, computed with PBE-GGA.

The structure in CIF format:
```
data_ZrNpMo
_chemical_formula_sum 'Zr4 Np4 Mo4'
_cell_length_a 6.4478
_cell_length_b 6.4478
_cell_length_c 6.4478
_cell_angle_alpha 90.00
_cell_angle_beta 90.00
_cell_angle_gamma 90.00
_symmetry_space_group_name_H-M 'F -4 3 m'
_symmetry_Int_Tables_number 216
_symmetry_space_group_name_Hall 'F -4 2 3'
loop_
_atom_site_label
_atom_site_type_symbol
_atom_site_fract_x
_atom_site_fract_y
_atom_site_fract_z
_atom_site_occupancy
Zr1 Zr 0.0000 0.0000 0.0000 1
Np1 Np 0.0000 0.0000 0.5000 1
Mo1 Mo 0.2500 0.2500 0.7500 1
```

Summary:
Calculated formation energy, eV/atom: 0.62
ρ, Mg/m³: 10.51

Number 1: volume 236.5 Å³ per cell. Number 2: volume 274.6 Å³ per cell. Number 3: volume 481.4 Å³ per cell. Number 4: volume 365.8 Å³ per cell. Number 5: volume 247.0 Å³ per cell. Number 6: volume 268.1 Å³ per cell.